DFT (GGA-PBE) results for a relaxed CsCo2AsPb crystal.

Structure (POSCAR):
```
CsCo2AsPb
1.0
-4.504 -1.395 0.833
1.993 -3.518 4.882
-0.612 3.731 2.938
Pb Cs As Co
1 1 1 2
Direct
0.000 0.500 0.000
0.000 0.000 0.000
0.500 0.500 0.500
0.000 0.000 0.500
0.500 0.000 0.000
```

## Properties
As for the space group: P4/mmm (123). As for the theoretical density: 6.089 Mg/m³. The energy of formation is 10.42 eV per formula unit. The value obtained for the electronic total energy is -13.0 eV/cell.

DFT (GGA-PBE) results for a relaxed CsCoAs2Se crystal.

Structure (POSCAR):
```
CsCoAs2Se
1.0
-2.525 -3.733 1.214
3.673 -2.755 -0.834
1.674 0.610 5.358
Cs As Co Se
1 2 1 1
Direct
0.500 0.500 0.500
0.000 0.500 0.000
0.500 0.000 0.000
0.000 0.000 0.000
0.000 0.000 0.500
```

## Properties
The formation energy (no corrections) is 2.31 kcal/mol of atoms. As for the space group: P4/mmm (123). As for the theoretical density: 5.680 Mg/m³. The offset from the most stable computed form is 0 meV per atom. The value obtained for the electronic total energy is -20.2 eV/cell.

DFT (GGA-PBE) results for a relaxed CsCoAs2Se crystal.

Structure (POSCAR):
```
CsCoAs2Se
1.0
-0.837 -4.237 -3.849
4.811 1.587 -2.793
3.108 -3.614 3.302
Cs As Co Se
1 2 1 1
Direct
0.000 0.000 0.000
0.000 0.500 0.000
0.500 0.000 0.000
0.500 0.500 0.500
0.000 0.000 0.500
```

## Properties
The formation energy (no corrections) is 48.83 kcal/mol of atoms. As for the space group: P4/mmm (123). As for the theoretical density: 3.600 Mg/m³. The offset from the most stable computed form is 2017 meV per atom. The value obtained for the electronic total energy is -10.2 eV/cell.

DFT (GGA-PBE) results for a relaxed CsTlCo2As crystal.

Structure (POSCAR):
```
CsTlCo2As
1.0
-2.903 -3.631 0.678
0.284 -1.334 -5.931
3.687 -2.798 0.806
Cs Tl Co As
1 1 2 1
Direct
0.500 0.500 0.500
0.000 0.500 0.000
0.000 0.000 0.500
0.500 0.000 0.000
0.000 0.000 0.000
```

## Properties
As for the space group: P4/mmm (123). As for the theoretical density: 6.552 Mg/m³. The energy of formation is 3.18 eV per formula unit. The value obtained for the electronic total energy is -18.9 eV/cell.

DFT (GGA-PBE) results for a relaxed Cs2VCoAs crystal.

Structure (POSCAR):
```
Cs2VCoAs
1.0
-4.960 -0.513 -4.167
-1.852 -3.342 2.616
-3.297 4.469 3.374
Cs As Co V
2 1 1 1
Direct
0.000 0.000 0.500
0.500 0.000 0.000
0.000 0.500 0.000
0.500 0.500 0.500
0.000 0.000 0.000
```

## Properties
As for the space group: P4/mmm (123). As for the theoretical density: 3.826 Mg/m³. The energy of formation is 4.59 eV per formula unit. The value obtained for the electronic total energy is -18.0 eV/cell.

DFT (GGA-PBE) results for a relaxed Co2Cu2As crystal.

Structure (POSCAR):
```
Co2Cu2As
1.0
-5.054 -2.738 -0.186
2.590 -4.630 -2.221
0.615 -1.380 3.595
As Co Cu
2 4 4
Direct
0.000 0.000 0.000
0.500 0.500 0.000
0.359 0.859 0.000
0.859 0.641 0.000
0.641 0.141 0.000
0.141 0.359 0.000
0.157 0.657 0.500
0.657 0.843 0.500
0.843 0.343 0.500
0.343 0.157 0.500
```

## Properties
As for the space group: P4/mbm (127). As for the theoretical density: 8.236 Mg/m³. The energy of formation is 0.63 eV per formula unit. The value obtained for the electronic total energy is -52.9 eV/cell.

DFT (GGA-PBE) results for a relaxed CoCuAs crystal.

Structure (POSCAR):
```
CoCuAs
1.0
-1.770 1.627 -1.523
1.305 -2.214 -1.223
-4.462 -3.454 1.494
As Co Cu
1 1 1
Direct
0.000 0.000 0.027
0.333 0.667 0.319
0.667 0.333 0.654
```

## Properties
As for the space group: P3m1 (156). As for the theoretical density: 8.005 Mg/m³. The energy of formation is 0.63 eV per formula unit. The value obtained for the electronic total energy is -15.2 eV/cell.

DFT (GGA-PBE) results for a relaxed CoCu2As crystal.

Structure (POSCAR):
```
CoCu2As
1.0
4.486 -0.011 -0.050
1.463 4.240 0.050
-2.950 -2.150 2.608
As Co Cu
1 1 2
Direct
0.500 0.500 0.000
0.250 0.750 0.500
0.000 0.000 0.000
0.750 0.250 0.500
```

## Properties
As for the space group: Imm2 (44). As for the theoretical density: 8.725 Mg/m³. The energy of formation is 0.36 eV per formula unit. The value obtained for the electronic total energy is -19.6 eV/cell.

| no. | D(E_F) (states/eV/f.u.) |
| --- | --- |
| 1 | 3.9 |
| 2 | 3.8 |
| 3 | 8.6 |
| 4 | 3.9 |
| 5 | 14.9 |
| 6 | 4.2 |
| 7 | 3.1 |
| 8 | 2.8 |